VASP calculation (GGA-PBE) on a geometry-optimized LaMg2Mo structure.

Summary:
DFT formation energy ... 437 meV/atom
Spin magnetization ... 0.00 μB/cell

a = 5.8044 Å, b = 9.8025 Å, c = 3.0895 Å
α = 90.00°, β = 90.00°, γ = 90.00°
With the nearest neighbours (Å) after each atom.
Positions (direct):
La  0.0000  0.0000  0.0000  2 Mo 2.90, 2 La 3.09, 8 Mg 3.24
La  0.5000  0.5000  0.0000  2 Mo 2.90, 2 La 3.09, 8 Mg 3.24
Mg  0.2500  0.2500  0.5000  4 Mg 2.90-3.09, 4 La 3.24, 4 Mo 3.24
Mg  0.2500  0.7500  0.5000  4 Mg 2.90-3.09, 4 La 3.24, 4 Mo 3.24
Mg  0.7500  0.2500  0.5000  4 Mg 2.90-3.09, 4 La 3.24, 4 Mo 3.24
Mg  0.7500  0.7500  0.5000  4 Mg 2.90-3.09, 4 Mo 3.24, 4 La 3.24
Mo  0.0000  0.5000  0.0000  2 La 2.90, 2 Mo 3.09, 8 Mg 3.24
Mo  0.5000  0.0000  0.0000  2 La 2.90, 2 Mo 3.09, 8 Mg 3.24

---

VASP calculation (GGA-PBE) on a geometry-optimized NaTaSb2Te structure.

Summary:
VASP energy ... -4.828 eV per atom
Spin magnetization ... 0.00 μB/cell

a = 5.4453 Å, b = 5.4453 Å, c = 5.4576 Å
α = 90.00°, β = 90.00°, γ = 90.00°
With the nearest neighbours (Å) after each atom.
Positions (direct):
Na  0.0000  0.0000  0.0000  4 Te 3.85, 8 Sb 3.85
Ta  0.5000  0.5000  0.5000  4 Sb 2.72, 2 Te 2.73
Sb  0.0000  0.5000  0.5000  2 Ta 2.72
Sb  0.5000  0.0000  0.5000  2 Ta 2.72
Te  0.5000  0.5000  0.0000  2 Ta 2.73

---

Computed calculated density, in the same sequence as the records: 5.36 5.90 g/cm³.